First-principles (PBE with a Hubbard U) data for an optimized crystal structure of NiAuF5, as listed in Alexandria.

Structure (extended XYZ):
```
14
Lattice="5.195 -0.548 -1.077 -1.344 5.084 -1.106 1.073 1.223 7.048" Properties=species:S:1:pos:R:3 pbc="T T T"
Ni 2.598 -0.274 -0.539
Ni 3.134 0.338 2.986
Au 3.940 3.044 0.119
Au 0.984 2.715 4.745
F 2.154 3.305 -0.655
F 0.613 3.599 1.926
F 2.238 0.559 1.227
F 3.409 4.787 0.854
F 1.515 0.973 4.011
F 4.211 1.185 -0.581
F 0.713 4.575 5.446
F 2.687 5.201 3.638
F 4.312 2.161 2.939
F 2.770 2.455 5.519
```

Values from the calculation:
volume: 196 Å³ per cell
raw total energy: -50.3 eV/cell

First-principles (PBE with a Hubbard U) data for an optimized crystal structure of NiAu3F, as listed in Alexandria.

Structure (extended XYZ):
```
5
Lattice="4.713 0.000 0.000 0.000 4.713 0.000 0.000 0.000 4.713" Properties=species:S:1:pos:R:3 pbc="T T T"
Ni 0.000 0.000 0.000
Au 0.000 2.357 0.000
Au 0.000 0.000 2.357
Au 2.357 0.000 0.000
F 2.357 2.357 2.357
```

Values from the calculation:
volume: 105 Å³ per cell
distance to the lowest polymorph of the same formula: 0 meV/atom

First-principles (PBE with a Hubbard U) data for an optimized crystal structure of Ni3AuF, as listed in Alexandria.

Structure (extended XYZ):
```
5
Lattice="0.000 2.121 -3.486 -3.487 -1.811 -1.101 -2.119 2.979 1.812" Properties=species:S:1:pos:R:3 pbc="T T T"
Ni -1.743 -0.905 -0.551
Ni -1.060 1.489 0.906
Ni 0.000 1.060 -1.743
Au -2.803 1.644 -1.388
F 0.000 0.000 0.000
```

Values from the calculation:
volume: 68 Å³ per cell
distance to the lowest polymorph of the same formula: 0 meV/atom

First-principles (PBE with a Hubbard U) data for an optimized crystal structure of NiAuO2F, as listed in Alexandria.

Structure (extended XYZ):
```
5
Lattice="-0.258 -0.415 -4.064 3.784 -1.559 -0.081 -1.586 -3.874 0.497" Properties=species:S:1:pos:R:3 pbc="T T T"
Ni 0.970 -2.924 -1.824
Au 0.000 0.000 0.000
O 1.892 -0.779 -0.041
O -0.129 -0.208 -2.032
F -0.793 -1.937 0.248
```

Values from the calculation:
volume: 71 Å³ per cell
raw total energy: -16.2 eV/cell

Q: volume of number 3 (Ni3AuF)?
A: 68 Å³ per cell